Record 1
DFT (PBE) results for an optimized crystal structure of La6Tl2SbTe3.

Properties
Formation energy (no corrections) = -1.120 eV per atom
Density of states at the Fermi level = 15.7 states/eV/cell
Total energy = -5.107 eV/atom

Geometry as CIF:
```
data_La6Tl2SbTe3
_chemical_formula_sum 'La12 Tl4 Sb2 Te6'
_space_group_name_H-M_alt 'C 1 2/m 1'
_space_group_IT_number 12
_cell_length_a 20.318
_cell_length_b 4.523
_cell_length_c 9.429
_cell_angle_alpha 90.00
_cell_angle_beta 105.51
_cell_angle_gamma 90.00
loop_
_space_group_symop_operation_xyz
'x,y,z'
'-x,-y,-z'
'-x,y,-z'
'x,-y,z'
'x+1/2,y+1/2,z'
'-x+1/2,-y+1/2,-z'
'-x+1/2,y+1/2,-z'
'x+1/2,-y+1/2,z'
loop_
_atom_site_label
_atom_site_type_symbol
_atom_site_fract_x
_atom_site_fract_y
_atom_site_fract_z
_atom_site_occupancy
La1 La 0.002 0.000 0.245 1
La2 La 0.164 0.500 0.591 1
La3 La 0.165 0.500 0.087 1
Tl1 Tl 0.170 0.000 0.343 1
Sb1 Sb 0.000 0.500 0.000 1
Te1 Te 0.000 0.500 0.500 1
Te2 Te 0.165 0.000 0.839 1
```

Record 2
DFT (PBE) results for an optimized crystal structure of TcAsPCl2.

Properties
Formation energy (no corrections) = 0.510 eV per atom
Density of states at the Fermi level = 4.3 states/eV/cell
Total energy = -4.314 eV/atom

Geometry as CIF:
```
data_TcAsPCl2
_chemical_formula_sum 'Tc1 As1 P1 Cl2'
_space_group_name_H-M_alt 'P 4/m m m'
_space_group_IT_number 123
_space_group_name_Hall '-P 4 2'
_cell_length_a 4.777
_cell_length_b 4.777
_cell_length_c 4.801
_cell_angle_alpha 90.00
_cell_angle_beta 90.00
_cell_angle_gamma 90.00
loop_
_atom_site_label
_atom_site_type_symbol
_atom_site_fract_x
_atom_site_fract_y
_atom_site_fract_z
_atom_site_occupancy
Tc1 Tc 0.000 0.000 0.000 1
As1 As 0.500 0.500 0.500 1
P1 P 0.000 0.000 0.500 1
Cl1 Cl 0.000 0.500 0.000 1
```

Record 3
DFT (PBE) results for an optimized crystal structure of Cr2TePb.

Properties
Formation energy (no corrections) = 0.505 eV per atom
Density of states at the Fermi level = 4.9 states/eV/cell
Total energy = -6.019 eV/atom

Geometry as CIF:
```
data_Cr2TePb
_chemical_formula_sum 'Cr4 Te2 Pb2'
_space_group_name_H-M_alt 'I -4 m 2'
_space_group_IT_number 119
_space_group_name_Hall 'I -4 -2'
_cell_length_a 4.105
_cell_length_b 4.105
_cell_length_c 10.476
_cell_angle_alpha 90.00
_cell_angle_beta 90.00
_cell_angle_gamma 90.00
loop_
_atom_site_label
_atom_site_type_symbol
_atom_site_fract_x
_atom_site_fract_y
_atom_site_fract_z
_atom_site_occupancy
Cr1 Cr 0.000 0.000 0.000 1
Cr2 Cr 0.000 0.500 0.250 1
Te1 Te 0.000 0.000 0.500 1
Pb1 Pb 0.000 0.500 0.750 1
```

Record 4
DFT (PBE) results for an optimized crystal structure of Ti2Zn3Cu.

Properties
Density of states at the Fermi level = 37.8 states/eV/cell
Calculated formation energy = -0.151 eV per atom
Total energy = -4.102 eV/atom

Geometry as CIF:
```
data_Ti2Zn3Cu
_chemical_formula_sum 'Ti16 Zn24 Cu8'
_space_group_name_H-M_alt 'F m m m'
_space_group_IT_number 69
_space_group_name_Hall '-F 2 2'
_cell_length_a 5.482
_cell_length_b 8.643
_cell_length_c 14.968
_cell_angle_alpha 90.00
_cell_angle_beta 90.00
_cell_angle_gamma 90.00
loop_
_atom_site_label
_atom_site_type_symbol
_atom_site_fract_x
_atom_site_fract_y
_atom_site_fract_z
_atom_site_occupancy
Ti1 Ti 0.247 0.000 0.000 1
Ti2 Ti 0.250 0.250 0.250 1
Zn1 Zn 0.000 0.000 0.332 1
Zn2 Zn 0.000 0.248 0.084 1
Cu1 Cu 0.000 0.000 0.167 1
```

Record 5
DFT (PBE) results for an optimized crystal structure of ErZrCu.

Properties
Density of states at the Fermi level = 11.6 states/eV/cell
Calculated formation energy = -0.121 eV per atom
Total energy = -5.857 eV/atom

Geometry as CIF:
```
data_ErZrCu
_chemical_formula_sum 'Er4 Zr4 Cu4'
_space_group_name_H-M_alt 'C m c m'
_space_group_IT_number 63
_space_group_name_Hall '-C 2c 2'
_cell_length_a 3.404
_cell_length_b 17.298
_cell_length_c 4.399
_cell_angle_alpha 90.00
_cell_angle_beta 90.00
_cell_angle_gamma 90.00
loop_
_atom_site_label
_atom_site_type_symbol
_atom_site_fract_x
_atom_site_fract_y
_atom_site_fract_z
_atom_site_occupancy
Er1 Er 0.000 0.096 0.250 1
Zr1 Zr 0.000 0.288 0.250 1
Cu1 Cu 0.000 0.458 0.250 1
```

Record 6
DFT (PBE) results for an optimized crystal structure of BaBPd3.

Properties
Density of states at the Fermi level = 6.9 states/eV/cell
Calculated formation energy = -0.281 eV per atom
Total energy = -5.117 eV/atom

Geometry as CIF:
```
data_BaBPd3
_chemical_formula_sum 'Ba1 B1 Pd3'
_space_group_name_H-M_alt 'P m -3 m'
_space_group_IT_number 221
_space_group_name_Hall '-P 4 2 3'
_cell_length_a 4.496
_cell_length_b 4.496
_cell_length_c 4.496
_cell_angle_alpha 90.00
_cell_angle_beta 90.00
_cell_angle_gamma 90.00
loop_
_atom_site_label
_atom_site_type_symbol
_atom_site_fract_x
_atom_site_fract_y
_atom_site_fract_z
_atom_site_occupancy
Ba1 Ba 0.000 0.000 0.000 1
B1 B 0.500 0.500 0.500 1
Pd1 Pd 0.000 0.500 0.500 1
```

Record 7
DFT (PBE) results for an optimized crystal structure of SiRuS2O.

Properties
Formation energy (no corrections) = 1.194 eV per atom
Density of states at the Fermi level = 6.6 states/eV/cell
Total energy = -4.389 eV/atom

Geometry as CIF:
```
data_SiRuS2O
_chemical_formula_sum 'Si1 Ru1 S2 O1'
_space_group_name_H-M_alt 'P 4/m m m'
_space_group_IT_number 123
_space_group_name_Hall '-P 4 2'
_cell_length_a 4.349
_cell_length_b 4.349
_cell_length_c 4.835
_cell_angle_alpha 90.00
_cell_angle_beta 90.00
_cell_angle_gamma 90.00
loop_
_atom_site_label
_atom_site_type_symbol
_atom_site_fract_x
_atom_site_fract_y
_atom_site_fract_z
_atom_site_occupancy
Si1 Si 0.000 0.000 0.000 1
Ru1 Ru 0.000 0.000 0.500 1
S1 S 0.000 0.500 0.000 1
O1 O 0.500 0.500 0.500 1
```

Record 8
DFT (PBE) results for an optimized crystal structure of TbIn2F4.

Properties
Formation energy (no corrections) = -2.783 eV per atom
Density of states at the Fermi level = 2.9 states/eV/cell
Total energy = -5.296 eV/atom

Geometry as CIF:
```
data_TbIn2F4
_chemical_formula_sum 'Tb2 In4 F8'
_space_group_name_H-M_alt 'I 4/m m m'
_space_group_IT_number 139
_space_group_name_Hall '-I 4 2'
_cell_length_a 4.405
_cell_length_b 4.405
_cell_length_c 18.294
_cell_angle_alpha 90.00
_cell_angle_beta 90.00
_cell_angle_gamma 90.00
loop_
_atom_site_label
_atom_site_type_symbol
_atom_site_fract_x
_atom_site_fract_y
_atom_site_fract_z
_atom_site_occupancy
Tb1 Tb 0.000 0.000 0.000 1
In1 In 0.000 0.000 0.241 1
F1 F 0.000 0.000 0.120 1
F2 F 0.000 0.500 0.000 1
```

Record 9
DFT (PBE) results for an optimized crystal structure of EuMgCuAu.

Properties
Density of states at the Fermi level = 29.8 states/eV/cell
Calculated formation energy = -0.353 eV per atom
Total energy = -5.163 eV/atom

Geometry as CIF:
```
data_EuMgCuAu
_chemical_formula_sum 'Eu4 Mg4 Cu4 Au4'
_space_group_name_H-M_alt 'F -4 3 m'
_space_group_IT_number 216
_space_group_name_Hall 'F -4 2 3'
_cell_length_a 7.024
_cell_length_b 7.024
_cell_length_c 7.024
_cell_angle_alpha 90.00
_cell_angle_beta 90.00
_cell_angle_gamma 90.00
loop_
_atom_site_label
_atom_site_type_symbol
_atom_site_fract_x
_atom_site_fract_y
_atom_site_fract_z
_atom_site_occupancy
Eu1 Eu 0.000 0.000 0.000 1
Mg1 Mg 0.000 0.000 0.500 1
Cu1 Cu 0.250 0.250 0.250 1
Au1 Au 0.250 0.250 0.750 1
```

Record 10
DFT (PBE) results for an optimized crystal structure of Y2Rh4Pb3.

Properties
Density of states at the Fermi level = 21.2 states/eV/cell
Calculated formation energy = -0.429 eV per atom
Total energy = -6.368 eV/atom

Geometry as CIF:
```
data_Y2Rh4Pb3
_chemical_formula_sum 'Y8 Rh16 Pb12'
_space_group_name_H-M_alt 'C m c e'
_space_group_IT_number 64
_space_group_name_Hall '-C 2ac 2'
_cell_length_a 6.138
_cell_length_b 17.352
_cell_length_c 7.161
_cell_angle_alpha 90.00
_cell_angle_beta 90.00
_cell_angle_gamma 90.00
loop_
_atom_site_label
_atom_site_type_symbol
_atom_site_fract_x
_atom_site_fract_y
_atom_site_fract_z
_atom_site_occupancy
Y1 Y 0.000 0.099 0.088 1
Rh1 Rh 0.000 0.159 0.461 1
Rh2 Rh 0.250 0.076 0.750 1
Pb1 Pb 0.000 0.000 0.500 1
Pb2 Pb 0.250 0.236 0.750 1
```

Record 11
DFT (PBE) results for an optimized crystal structure of ScSnH3.

Properties
Density of states at the Fermi level = 2.1 states/eV/cell
Total energy = -3.574 eV/atom

Geometry as CIF:
```
data_ScSnH3
_chemical_formula_sum 'Sc1 Sn1 H3'
_space_group_name_H-M_alt 'P m -3 m'
_space_group_IT_number 221
_space_group_name_Hall '-P 4 2 3'
_cell_length_a 3.963
_cell_length_b 3.963
_cell_length_c 3.963
_cell_angle_alpha 90.00
_cell_angle_beta 90.00
_cell_angle_gamma 90.00
loop_
_atom_site_label
_atom_site_type_symbol
_atom_site_fract_x
_atom_site_fract_y
_atom_site_fract_z
_atom_site_occupancy
Sc1 Sc 0.000 0.000 0.000 1
Sn1 Sn 0.500 0.500 0.500 1
H1 H 0.000 0.500 0.500 1
```

Record 12
DFT (PBE) results for an optimized crystal structure of SiPC3.

Properties
Formation energy (no corrections) = 2.080 eV per atom
Density of states at the Fermi level = 2.2 states/eV/cell
Total energy = -5.621 eV/atom

Geometry as CIF:
```
data_SiPC3
_chemical_formula_sum 'Si1 P1 C3'
_space_group_name_H-M_alt 'P m -3 m'
_space_group_IT_number 221
_space_group_name_Hall '-P 4 2 3'
_cell_length_a 3.652
_cell_length_b 3.652
_cell_length_c 3.652
_cell_angle_alpha 90.00
_cell_angle_beta 90.00
_cell_angle_gamma 90.00
loop_
_atom_site_label
_atom_site_type_symbol
_atom_site_fract_x
_atom_site_fract_y
_atom_site_fract_z
_atom_site_occupancy
Si1 Si 0.000 0.000 0.000 1
P1 P 0.500 0.500 0.500 1
C1 C 0.000 0.500 0.500 1
```